Entry 1:
SmThU2P4 after structural relaxation, computed with GGA-PBE.

Cell: 6.938 4.005 7.061 Å, 90.00 109.10 90.00°
Space group P2/m (No. 10)
One atom of each set of equivalent atoms:
Sm: 0.000 0.000 0.000
Th: 0.500 0.500 0.000
U: 0.000 0.500 0.500
U: 0.500 0.000 0.500
P: 0.244 0.000 0.736
P: 0.253 0.500 0.264

## Properties
Size of the total moment   4.276 μB per formula unit
Energy of formation   -10.07 eV/f.u.
VASP energy   -8.3030 eV per atom

---

Entry 2:
K2ZrIr after structural relaxation, computed with GGA-PBE.

Cell: 3.602 6.394 12.755 Å, 90.00 90.00 90.00°
Space group Imm2 (No. 44)
One atom of each set of equivalent atoms:
K: 0.000 0.000 0.000
K: 0.000 0.500 0.185
Zr: 0.000 0.500 0.824
Ir: 0.000 0.000 0.454

## Properties
Size of the total moment   0.000 μB per formula unit
Energy of formation   1.56 eV/f.u.
Distance to the lowest polymorph of the same formula   1.15 eV per formula unit
VASP energy   -4.5109 eV per atom

---

Entry 3:
YAl2P after structural relaxation, computed with GGA-PBE.

Cell: 6.799 6.799 6.799 Å, 90.00 90.00 90.00°
Space group F-43m (No. 216)
One atom of each set of equivalent atoms:
Y: 0.000 0.000 0.000
Al: 0.000 0.000 0.500
Al: 0.250 0.250 0.750
P: 0.250 0.250 0.250

## Properties
Size of the total moment   0.000 μB per formula unit
Energy of formation   -0.61 eV/f.u.
VASP energy   -4.9934 eV per atom

---

Entry 4:
Th3Be6Pt20 after structural relaxation, computed with GGA-PBE.

Cell: 12.179 12.179 12.179 Å, 90.00 90.00 90.00°
Space group Fm-3m (No. 225)
One atom of each set of equivalent atoms:
Th: 0.000 0.000 0.000
Th: 0.250 0.250 0.250
Be: 0.000 0.000 0.272
Pt: 0.000 0.171 0.171
Pt: 0.115 0.115 0.385

## Properties
Size of the total moment   0.000 μB per formula unit
Energy of formation   -22.37 eV/f.u.
VASP energy   -6.4758 eV per atom

---

Entry 5:
K4FeAu after structural relaxation, computed with GGA-PBE.

Cell: 10.191 10.191 10.191 Å, 90.00 90.00 90.00°
Space group F-43m (No. 216)
One atom of each set of equivalent atoms:
K: 0.124 0.124 0.124
Fe: 0.000 0.000 0.500
Au: 0.250 0.250 0.750

## Properties
Size of the total moment   3.215 μB per formula unit
Energy of formation   4.65 eV/f.u.
VASP energy   -1.9129 eV per atom

---

Entry 6:
Tm6OsRu after structural relaxation, computed with GGA-PBE.

Cell: 4.773 4.773 17.759 Å, 90.00 90.00 90.00°
Space group I4/mmm (No. 139)
One atom of each set of equivalent atoms:
Tm: 0.000 0.000 0.250
Tm: 0.000 0.500 0.092
Os: 0.000 0.000 0.000
Ru: 0.000 0.000 0.500

## Properties
Size of the total moment   0.000 μB per formula unit
Energy of formation   -1.65 eV/f.u.
VASP energy   -6.1234 eV per atom

---

Entry 7:
ScNi2HPd after structural relaxation, computed with GGA-PBE.

Cell: 3.748 3.748 4.115 Å, 90.00 90.00 90.00°
Space group P4/mmm (No. 123)
One atom of each set of equivalent atoms:
Sc: 0.000 0.000 0.000
Ni: 0.000 0.500 0.500
H: 0.000 0.000 0.500
Pd: 0.500 0.500 0.000

## Properties
Size of the total moment   0.000 μB per formula unit
Distance to the lowest polymorph of the same formula   0.00 eV per formula unit
VASP energy   -5.7600 eV per atom

---

Entry 8:
NaHo2Mg after structural relaxation, computed with GGA-PBE.

Cell: 3.4128 3.4128 37.0079 Å, 90.00 90.00 120.00°
Space group R-3m (No. 166, hexagonal axes)
One atom of each set of equivalent atoms:
Na: 0.0000 0.0000 0.0000
Ho: 0.0000 0.0000 0.0950
Mg: 0.0000 0.0000 0.5000

## Properties
Size of the total moment   0.000 μB per formula unit
Energy of formation   0.76 eV/f.u.
Distance to the lowest polymorph of the same formula   0.16 eV per formula unit
VASP energy   -2.8275 eV per atom

---

Entry 9:
La2CdHgRh after structural relaxation, computed with GGA-PBE.

Cell: 8.356 4.161 8.481 Å, 90.00 112.55 90.00°
Space group P2_1/m (No. 11)
One atom of each set of equivalent atoms:
La: 0.009 0.250 0.222
La: 0.348 0.750 0.618
Cd: 0.352 0.250 0.951
Hg: 0.310 0.750 0.201
Rh: 0.110 0.250 0.615

## Properties
Size of the total moment   0.000 μB per formula unit
Energy of formation   -2.91 eV/f.u.
Distance to the lowest polymorph of the same formula   0.00 eV per formula unit
VASP energy   -4.2664 eV per atom

---

Entry 10:
YTc2Br after structural relaxation, computed with GGA-PBE.

Cell: 11.021 3.496 4.650 Å, 90.00 94.84 90.00°
Space group C2/m (No. 12)
One atom of each set of equivalent atoms:
Y: 0.000 0.000 0.000
Tc: 0.223 0.500 0.840
Br: 0.000 0.500 0.500

## Properties
Size of the total moment   0.000 μB per formula unit
Uncorrected formation energy   17.2 kJ per mole of atoms
Distance to the lowest polymorph of the same formula   1.20 eV per formula unit
VASP energy   -7.0388 eV per atom

---

Entry 11:
Zr6PC3N2 after structural relaxation, computed with GGA-PBE.

Cell: 14.827 3.371 6.828 Å, 90.00 103.66 90.00°
Space group C2/m (No. 12)
One atom of each set of equivalent atoms:
Zr: 0.001 0.000 0.227
Zr: 0.168 0.500 0.085
Zr: 0.176 0.500 0.587
P: 0.000 0.500 0.500
C: 0.000 0.500 0.000
C: 0.167 0.000 0.330
N: 0.171 0.000 0.839

## Properties
Size of the total moment   0.000 μB per formula unit
Uncorrected formation energy   -108.4 kJ per mole of atoms
VASP energy   -9.5422 eV per atom

---

Entry 12:
CaCu2GeO4 after structural relaxation, computed with GGA-PBE.

Cell: 5.450 5.700 6.451 Å, 90.00 90.00 90.00°
Space group I222 (No. 23)
One atom of each set of equivalent atoms:
Ca: 0.000 0.000 0.000
Cu: 0.000 0.500 0.197
Ge: 0.000 0.000 0.500
O: 0.189 0.172 0.329

## Properties
Size of the total moment   0.000 μB per formula unit
Uncorrected formation energy   -140.7 kJ per mole of atoms
VASP energy   -5.7889 eV per atom